Entry P
CsAg3Br, optimized geometry, DFT PBE-GGA; total moment = 0.000 μB per atom
1.0
-3.606 -3.556 2.479
2.769 0.591 4.876
-3.334 4.336 1.368
Br Ag Cs
1 3 1
Cartesian
0.000 0.000 0.000 Br
-1.803 -1.778 1.240 Ag
1.385 0.296 2.438 Ag
-1.667 2.168 0.684 Ag
-2.085 0.686 4.362 Cs

---

Entry Q
CsAg3Br, optimized geometry, DFT PBE-GGA; total moment = 0.000 μB per atom
1.0
-0.456 -1.252 6.092
5.676 -2.580 -0.105
2.542 5.537 1.328
Ag Br Cs
3 1 1
Cartesian
1.271 2.769 0.664 Ag
2.838 -1.290 -0.052 Ag
-0.228 -0.626 3.046 Ag
3.881 0.853 3.658 Br
0.000 0.000 0.000 Cs

---

Q: Which of them is the least stable? A: entry Q.

---

Entry P
Cs3AgBr, optimized geometry, DFT PBE-GGA; total moment = 0.000 μB per atom
1.0
-3.188 3.463 1.615
-6.595 -0.245 -12.495
-3.837 -6.448 6.253
Cs Ag Br
6 2 2
Cartesian
-4.246 0.496 2.055 Cs
-9.374 -3.726 -6.683 Cs
-4.266 2.418 -2.107 Cs
-7.667 -1.658 -0.080 Cs
-9.355 -5.649 -2.521 Cs
-5.953 -1.573 -4.547 Cs
-7.402 -5.319 0.629 Ag
-6.219 2.089 -5.257 Ag
-9.557 -1.869 -3.359 Br
-4.063 -1.361 -1.269 Br

---

Entry Q
Cs3AgBr, optimized geometry, DFT PBE-GGA; total moment = 0.000 μB per atom
1.0
-5.956 -3.228 1.623
3.003 -6.163 -1.237
2.009 -0.358 6.660
Cs Ag Br
3 1 1
Cartesian
-2.978 -1.614 0.811 Cs
1.501 -3.081 -0.618 Cs
1.004 -0.179 3.330 Cs
-0.472 -4.874 3.523 Ag
0.000 0.000 0.000 Br

---

Q: Which of them is the least stable? A: entry Q.

---

Entry P
Cs2ZrAgBr6, optimized geometry, DFT PBE-GGA; total moment = 0.100 μB per atom
1.0
-1.239 -7.380 -2.660
4.945 -3.179 -5.341
8.676 -8.272 7.051
Br Cs Zr Ag
12 4 2 2
Cartesian
4.098 -10.787 -1.596 Br
5.206 -10.135 1.980 Br
7.176 -8.696 -2.931 Br
8.284 -8.044 0.646 Br
4.715 -7.113 -0.272 Br
7.744 -13.211 3.221 Br
8.382 -9.407 4.592 Br
4.000 -9.423 -5.543 Br
1.451 -7.785 -2.790 Br
7.667 -11.717 -0.678 Br
4.638 -5.620 -4.172 Br
10.931 -11.046 1.840 Br
10.235 -14.729 0.527 Cs
5.905 -6.502 3.432 Cs
2.146 -4.102 -1.477 Cs
6.477 -12.328 -4.382 Cs
6.191 -9.415 -0.475 Zr
0.000 0.000 0.000 Zr
8.057 -10.607 1.962 Ag
4.325 -8.224 -2.912 Ag

---

Entry Q
Cs2ZrAgBr6, optimized geometry, DFT PBE-GGA; total moment = 0.100 μB per atom
1.0
-1.579 -6.343 -4.500
4.417 -4.511 4.808
-3.108 -6.522 3.286
Br Ag Cs Zr
6 1 2 1
Cartesian
2.108 -8.061 0.229 Br
-0.778 -5.958 1.674 Br
2.875 -4.982 2.413 Br
-0.036 -5.871 -2.105 Br
0.509 -11.417 1.920 Br
0.730 -2.793 0.079 Br
0.000 0.000 0.000 Ag
-1.634 -9.146 -0.530 Cs
1.364 -8.230 4.124 Cs
1.419 -5.427 0.154 Zr

---

Q: Which of them is the least stable? A: entry Q.

---

Entry P
CuAgBr3, optimized geometry, DFT PBE-GGA; total moment = 0.000 μB per atom
1.0
-2.379 -6.305 -1.573
5.696 0.683 3.869
-4.031 0.043 5.928
Br Cu Ag
6 2 2
Cartesian
-4.519 -4.152 3.281 Br
-1.824 -1.861 5.097 Br
1.110 -3.718 3.127 Br
0.827 0.241 2.906 Br
0.838 0.484 6.891 Br
-1.891 -2.111 1.074 Br
-2.844 0.030 4.182 Cu
-1.187 0.013 1.746 Cu
0.989 -1.625 5.019 Ag
-1.703 -3.954 3.205 Ag

---

Entry Q
CuAgBr3, optimized geometry, DFT PBE-GGA; total moment = 0.000 μB per atom
1.0
-4.744 -0.017 5.021
-5.430 -6.582 -2.983
3.587 -6.179 5.538
Ag Br Cu
4 12 4
Cartesian
-6.523 -6.485 3.113 Ag
-5.791 -6.550 -0.948 Ag
-0.796 -6.229 8.524 Ag
-0.064 -6.294 4.463 Ag
-6.094 -8.183 5.402 Br
-2.291 -8.111 4.243 Br
-0.493 -4.595 2.174 Br
-4.296 -4.668 3.333 Br
-5.183 -8.060 1.455 Br
-1.404 -4.719 6.121 Br
-3.027 -11.261 2.133 Br
-3.432 -4.907 -0.547 Br
-3.561 -1.517 5.443 Br
-3.800 -11.198 6.154 Br
-2.787 -1.580 1.422 Br
-3.155 -7.872 8.123 Br
-3.828 -8.749 6.002 Cu
-2.988 -8.809 2.043 Cu
-2.759 -4.029 1.574 Cu
-3.599 -3.969 5.533 Cu

---

Q: Which of them is the least stable? A: entry P.

---

Entry P
CuAgBr2, optimized geometry, DFT PBE-GGA; total moment = 0.000 μB per atom
1.0
-4.679 -4.470 -3.787
-1.131 -5.180 -5.302
0.769 -2.805 3.116
Cu Ag Br
1 1 2
Cartesian
-3.130 -7.065 -4.021 Cu
-0.107 -4.219 1.728 Ag
-3.792 -9.269 -4.538 Br
0.234 -0.935 0.986 Br

---

Entry Q
CuAgBr2, optimized geometry, DFT PBE-GGA; total moment = 0.000 μB per atom
1.0
3.996 0.000 0.000
0.000 6.935 0.002
0.000 4.625 3.263
Ag Cu Br
1 1 2
Cartesian
0.000 2.312 1.631 Ag
1.998 5.780 1.632 Cu
0.000 0.000 0.000 Br
1.998 3.467 0.001 Br

---

Entry R
CuAgBr2, optimized geometry, DFT PBE-GGA; total moment = 0.000 μB per atom
1.0
4.089 0.005 0.000
-1.802 3.671 0.000
0.000 0.000 7.564
Br Ag Cu
2 1 1
Cartesian
1.143 1.838 2.755 Br
0.000 0.000 6.871 Br
1.143 1.838 5.461 Ag
0.000 0.000 3.822 Cu

---

Q: Which of them is the least stable? A: entry Q.

---

Entry P
CuAgBr2, optimized geometry, DFT PBE-GGA; total moment = 0.000 μB per atom
1.0
-2.466 -4.105 1.254
-3.944 0.294 2.978
-4.535 -0.814 -1.811
Cu Ag Br
1 1 2
Cartesian
0.000 0.000 0.000 Cu
-5.473 -2.312 1.210 Ag
-2.736 -1.156 0.605 Br
-8.209 -3.468 1.815 Br

---

Entry Q
CuAgBr2, optimized geometry, DFT PBE-GGA; total moment = 0.000 μB per atom
1.0
4.156 0.000 0.002
0.000 6.046 0.000
-0.001 0.000 8.597
Cu Br Ag
2 4 2
Cartesian
2.919 2.152 8.536 Cu
0.836 5.174 1.913 Cu
2.912 3.479 6.455 Br
0.839 0.792 0.047 Br
2.913 3.812 1.813 Br
0.831 0.453 4.000 Br
2.908 2.244 4.036 Ag
0.834 5.270 6.423 Ag

---

Q: Which of them is the least stable? A: entry P.

---

Entry P
CuAgBr2, optimized geometry, DFT PBE-GGA; total moment = 0.000 μB per atom
1.0
-2.998 1.547 -1.427
1.400 -0.859 -3.874
-3.410 -5.948 0.713
Ag Cu Br
1 1 2
Cartesian
-3.006 -4.332 -3.084 Ag
-2.001 -0.928 -1.504 Cu
0.056 -0.125 -0.254 Br
-1.061 -3.279 -1.327 Br

---

Entry Q
CuAgBr2, optimized geometry, DFT PBE-GGA; total moment = 0.000 μB per atom
1.0
-2.815 2.302 2.345
1.321 -4.083 0.553
5.725 2.457 4.462
Cu Ag Br
1 1 2
Cartesian
0.684 -0.276 2.564 Cu
3.547 0.952 4.796 Ag
0.131 0.056 0.102 Br
2.731 1.172 2.129 Br

---

Q: Which of them is the least stable? A: entry Q.

---

Entry P
CuAg2Br4, optimized geometry, DFT PBE-GGA; total moment = 0.148 μB per atom
1.0
5.344 0.000 0.000
0.000 6.847 0.000
0.000 0.000 6.847
Br Cu Ag
4 1 2
Cartesian
4.142 1.509 1.509 Br
1.202 5.339 1.509 Br
4.142 5.339 5.339 Br
1.202 1.509 5.339 Br
0.000 0.000 0.000 Cu
0.000 0.000 3.424 Ag
0.000 3.424 0.000 Ag

---

Entry Q
CuAg2Br4, optimized geometry, DFT PBE-GGA; total moment = 0.041 μB per atom
1.0
6.179 0.000 0.000
0.000 6.179 0.000
-3.090 -3.090 5.719
Ag Br Cu
2 4 1
Cartesian
3.090 0.000 2.860 Ag
0.000 3.090 2.860 Ag
1.638 4.541 1.293 Br
-1.451 -1.451 4.427 Br
4.541 1.638 1.293 Br
1.451 1.451 4.427 Br
3.090 3.090 0.000 Cu

---

Q: Which of them is the least stable? A: entry P.

---

Entry P
Cu2Ag2Br5, optimized geometry, DFT PBE-GGA; total moment = 0.022 μB per atom
1.0
-0.881 1.964 6.572
5.773 -3.929 1.948
2.973 8.231 -5.699
Cu Br Ag
4 10 4
Cartesian
5.603 -3.814 1.891 Cu
2.995 3.372 -0.917 Cu
2.276 -0.867 4.203 Cu
5.365 2.557 3.905 Cu
3.503 5.648 -0.298 Br
5.019 1.867 -0.873 Br
1.003 1.154 5.273 Br
1.453 5.346 3.224 Br
3.895 -0.824 6.201 Br
6.502 5.367 -2.526 Br
3.621 7.318 -3.545 Br
6.171 4.169 2.301 Br
1.133 2.478 0.331 Br
3.801 0.999 2.930 Br
3.913 6.215 2.312 Ag
7.241 3.266 -0.010 Ag
4.538 -0.349 0.708 Ag
1.210 2.600 3.029 Ag

---

Entry Q
Cu2Ag2Br5, optimized geometry, DFT PBE-GGA; total moment = 0.000 μB per atom
1.0
4.057 0.000 0.552
1.991 3.535 0.552
-0.302 -0.176 17.391
Cu Br Ag
2 5 2
Cartesian
2.975 1.739 8.501 Cu
3.918 2.290 16.747 Cu
-0.219 -0.128 16.786 Br
4.245 2.481 14.345 Br
3.623 2.117 3.742 Br
2.655 1.552 10.850 Br
5.110 2.987 7.995 Br
5.481 3.204 5.266 Ag
0.422 0.247 12.075 Ag

---

Q: Which of them is the least stable? A: entry P.

---

Entry P
Cu3AgBr6, optimized geometry, DFT PBE-GGA; total moment = 0.000 μB per atom
1.0
-2.866 0.464 6.920
5.299 -5.138 6.608
4.345 7.083 5.393
Ag Br Cu
2 12 6
Cartesian
5.060 -2.083 6.305 Ag
4.584 4.028 5.697 Ag
-0.985 0.756 8.377 Br
3.887 5.367 11.179 Br
5.625 -0.948 8.741 Br
7.763 1.654 10.545 Br
2.449 0.761 5.730 Br
5.279 3.492 8.299 Br
4.328 1.649 13.192 Br
4.494 -2.414 11.953 Br
1.153 3.357 10.181 Br
2.891 -2.958 7.743 Br
1.499 -1.083 10.623 Br
2.284 4.824 6.969 Br
3.151 4.260 9.157 Cu
6.488 1.357 8.561 Cu
6.643 1.777 12.666 Cu
3.627 -1.851 9.765 Cu
0.135 0.632 6.256 Cu
0.290 1.053 10.361 Cu

---

Entry Q
Cu3AgBr6, optimized geometry, DFT PBE-GGA; total moment = 0.000 μB per atom
1.0
-2.818 2.653 0.457
-0.954 -2.347 7.739
5.596 5.912 0.181
Br Cu Ag
6 3 1
Cartesian
2.951 1.844 7.483 Br
1.906 4.363 3.042 Br
-0.021 -0.439 2.413 Br
-0.082 1.856 5.335 Br
4.664 4.004 5.507 Br
1.692 1.722 0.437 Br
1.389 4.283 0.319 Cu
-1.886 0.153 4.098 Cu
0.000 0.000 0.000 Cu
2.321 1.783 3.960 Ag

---

Q: Which of them is the least stable? A: entry Q.

---

Entry P
Cu2AgBr6, optimized geometry, DFT PBE-GGA; total moment = 0.083 μB per atom
1.0
-1.749 -2.484 6.861
0.394 -7.984 -2.668
8.142 -1.337 1.712
Br Cu Ag
12 4 2
Cartesian
4.804 -2.200 1.576 Br
4.037 -7.482 1.689 Br
5.796 -10.273 3.307 Br
2.751 -4.322 4.216 Br
0.225 -6.621 2.912 Br
7.786 -8.073 0.508 Br
2.237 -4.271 0.001 Br
4.551 -7.534 5.905 Br
0.993 -1.532 2.598 Br
1.984 -9.605 4.329 Br
-0.998 -3.731 5.398 Br
6.563 -5.184 2.994 Br
0.726 -5.394 4.919 Cu
6.062 -6.411 0.986 Cu
4.098 -8.587 3.801 Cu
2.690 -3.218 2.105 Cu
-0.137 -9.177 2.919 Ag
6.925 -2.627 2.987 Ag

---

Entry Q
Cu2AgBr6, optimized geometry, DFT PBE-GGA; total moment = 0.006 μB per atom
1.0
7.499 0.000 0.000
0.000 6.502 -3.754
0.000 0.000 7.507
Br Cu Ag
6 2 1
Cartesian
5.696 1.032 1.787 Br
5.696 1.032 5.720 Br
5.696 4.438 3.754 Br
1.803 5.470 1.966 Br
1.803 5.470 -1.966 Br
1.803 2.064 0.000 Br
1.459 4.334 0.000 Cu
6.040 2.167 3.754 Cu
0.000 0.000 0.000 Ag

---

Q: Which of them is the least stable? A: entry Q.